# 1
Below is a PBEsol-optimized structure of La2TlRu, with properties calculated at the SCAN level.

Summary:
formation enthalpy at 0 K: -39 kJ/mol of atoms
volume: 25.60 A^3/atom
raw total energy: -195.02 eV/f.u.
polymorph energy (0 for the lowest one): 27 meV per atom
D(E_F): 2.7 states/eV/cell

abc: 3.426 3.426 8.720
angles: 90.00 90.00 90.00
Sites, in units of the cell vectors:
1 La 0.000 0.000 0.202
2 Tl 0.500 0.500 0.500
3 La 0.000 0.000 0.798
4 Ru 0.500 0.500 0.000

# 2
Below is a PBEsol-optimized structure of La2TlRu, with properties calculated at the SCAN level.

Summary:
formation enthalpy at 0 K: -42 kJ/mol of atoms
volume: 26.58 A^3/atom
raw total energy: -195.12 eV/f.u.
polymorph energy (0 for the lowest one): 0 meV per atom
D(E_F): 2.4 states/eV/cell

abc: 3.899 4.814 6.155
angles: 113.01 90.00 90.00
Sites, in units of the cell vectors:
1 Tl 0.500 0.679 0.359
2 La 0.500 0.383 0.766
3 Ru 0.000 0.866 0.732
4 La 0.000 0.075 0.150

# 3
Below is a PBEsol-optimized structure of LaTlRu2, with properties calculated at the SCAN level.

Summary:
formation enthalpy at 0 K: 20 kJ/mol of atoms
volume: 19.35 A^3/atom
raw total energy: -184.27 eV/f.u.
polymorph energy (0 for the lowest one): 0 meV per atom
D(E_F): 2.5 states/eV/cell

abc: 3.179 4.656 5.942
angles: 113.07 105.51 90.00
Sites, in units of the cell vectors:
1 Tl 0.524 0.524 0.048
2 Ru 0.968 0.968 0.936
3 Ru 0.265 0.765 0.529
4 La 0.743 0.243 0.487

# 4
Below is a PBEsol-optimized structure of La2TlRu, with properties calculated at the SCAN level.

Summary:
formation enthalpy at 0 K: -32 kJ/mol of atoms
volume: 28.69 A^3/atom
raw total energy: -194.71 eV/f.u.
polymorph energy (0 for the lowest one): 103 meV per atom
D(E_F): 2.9 states/eV/cell

abc: 4.002 4.002 8.589
angles: 76.53 76.53 60.00
Sites, in units of the cell vectors:
1 Ru 0.500 0.500 0.500
2 La 0.230 0.230 0.310
3 La 0.770 0.770 0.690
4 Tl 0.000 0.000 0.000

# 5
Below is a PBEsol-optimized structure of LaTlRu2, with properties calculated at the SCAN level.

Summary:
formation enthalpy at 0 K: 23 kJ/mol of atoms
volume: 18.82 A^3/atom
raw total energy: -184.18 eV/f.u.
polymorph energy (0 for the lowest one): 24 meV per atom
D(E_F): 5.1 states/eV/cell

abc: 4.740 4.740 4.740
angles: 60.00 60.00 60.00
Sites, in units of the cell vectors:
1 Ru 0.750 0.750 0.750
2 La 0.000 0.000 0.000
3 Ru 0.250 0.250 0.250
4 Tl 0.500 0.500 0.500

# 6
Below is a PBEsol-optimized structure of LaRuW2, with properties calculated at the SCAN level.

Summary:
formation enthalpy at 0 K: 71 kJ/mol of atoms
volume: 18.31 A^3/atom
raw total energy: -214.37 eV/f.u.
polymorph energy (0 for the lowest one): 232 meV per atom
D(E_F): 4.1 states/eV/cell

abc: 3.100 5.138 5.490
angles: 117.90 106.40 90.00
Sites, in units of the cell vectors:
1 W 0.000 0.000 0.000
2 W 0.274 0.774 0.549
3 Ru 0.729 0.229 0.459
4 La 0.496 0.496 0.993

# 7
Below is a PBEsol-optimized structure of La2RuW, with properties calculated at the SCAN level.

Summary:
formation enthalpy at 0 K: 23 kJ/mol of atoms
volume: 23.63 A^3/atom
raw total energy: -189.77 eV/f.u.
D(E_F): 3.8 states/eV/cell

abc: 3.390 5.044 6.308
angles: 113.57 105.59 90.00
Sites, in units of the cell vectors:
1 La 0.227 0.727 0.454
2 Ru 0.455 0.455 0.910
3 La 0.017 0.017 0.034
4 W 0.801 0.301 0.602

# 8
Below is a PBEsol-optimized structure of LaRuW2, with properties calculated at the SCAN level.

Summary:
formation enthalpy at 0 K: 70 kJ/mol of atoms
volume: 17.55 A^3/atom
raw total energy: -214.40 eV/f.u.
polymorph energy (0 for the lowest one): 224 meV per atom
D(E_F): 3.1 states/eV/cell

abc: 2.840 5.260 5.522
angles: 114.84 98.80 102.62
Sites, in units of the cell vectors:
1 W 0.000 0.000 0.500
2 W 0.500 0.500 0.500
3 La 0.500 0.000 0.000
4 Ru 0.000 0.500 0.000

# 9
Below is a PBEsol-optimized structure of La2RuW, with properties calculated at the SCAN level.

Summary:
formation enthalpy at 0 K: 74 kJ/mol of atoms
volume: 20.41 A^3/atom
raw total energy: -187.64 eV/f.u.
D(E_F): 3.7 states/eV/cell

abc: 3.022 5.183 5.481
angles: 95.98 90.00 106.95
Sites, in units of the cell vectors:
1 Ru 0.000 0.000 0.000
2 La 0.240 0.480 0.236
3 La 0.760 0.520 0.764
4 W 0.500 0.000 0.500

# 10
Below is a PBEsol-optimized structure of LaRuW, with properties calculated at the SCAN level.

Summary:
formation enthalpy at 0 K: 33 kJ/mol of atoms
volume: 21.39 A^3/atom
raw total energy: -146.60 eV/f.u.
D(E_F): 2.3 states/eV/cell

abc: 3.052 3.888 5.945
angles: 109.09 104.88 90.00
Sites, in units of the cell vectors:
1 W 0.274 0.274 0.548
2 Ru 0.726 0.726 0.452
3 La 0.000 0.000 0.000

# 11
Below is a PBEsol-optimized structure of La3RuW, with properties calculated at the SCAN level.

Summary:
formation enthalpy at 0 K: 91 kJ/mol of atoms
volume: 29.90 A^3/atom
raw total energy: -229.11 eV/f.u.
D(E_F): 4.3 states/eV/cell

abc: 5.307 5.307 5.307
angles: 90.00 90.00 90.00
Each line ends with the local moment (μB).
Sites, in units of the cell vectors:
1 La 0.000 0.000 0.500  0.08
2 La 0.500 0.000 0.000  0.08
3 Ru 0.500 0.500 0.500  -1.56
4 La 0.000 0.500 0.000  0.08
5 W 0.000 0.000 0.000  -0.02

# 12
Below is a PBEsol-optimized structure of LaRuW2, with properties calculated at the SCAN level.

Summary:
formation enthalpy at 0 K: 49 kJ/mol of atoms
volume: 18.70 A^3/atom
raw total energy: -215.29 eV/f.u.
polymorph energy (0 for the lowest one): 0 meV per atom
D(E_F): 3.4 states/eV/cell

abc: 2.858 4.194 6.296
angles: 90.00 97.64 90.00
Sites, in units of the cell vectors:
1 La 0.504 0.000 0.511
2 Ru 0.290 0.500 0.806
3 W 0.726 0.500 0.188
4 W 0.981 0.000 0.995

# 13
Below is a PBEsol-optimized structure of LaRuW2, with properties calculated at the SCAN level.

Summary:
formation enthalpy at 0 K: 60 kJ/mol of atoms
volume: 19.34 A^3/atom
raw total energy: -214.80 eV/f.u.
polymorph energy (0 for the lowest one): 123 meV per atom
D(E_F): 4.5 states/eV/cell

abc: 3.254 3.254 7.304
angles: 90.00 90.00 90.00
Sites, in units of the cell vectors:
1 Ru 0.500 0.500 0.500
2 W 0.000 0.000 0.326
3 La 0.500 0.500 0.000
4 W 0.000 0.000 0.674

# 14
Below is a PBEsol-optimized structure of LaYRu4, with properties calculated at the SCAN level.

Summary:
formation enthalpy at 0 K: -20 kJ/mol of atoms
volume: 17.78 A^3/atom
raw total energy: -211.52 eV/f.u.
D(E_F): 7.5 states/eV/cell

abc: 5.323 5.323 5.323
angles: 60.00 60.00 60.00
Sites, in units of the cell vectors:
1 Ru 0.874 0.375 0.375
2 Ru 0.375 0.375 0.375
3 Ru 0.375 0.375 0.874
4 Y 0.750 0.750 0.750
5 La 0.000 0.000 0.000
6 Ru 0.375 0.874 0.375

# 15
Below is a PBEsol-optimized structure of LaYRu, with properties calculated at the SCAN level.

Summary:
formation enthalpy at 0 K: -27 kJ/mol of atoms
volume: 26.17 A^3/atom
raw total energy: -106.62 eV/f.u.
polymorph energy (0 for the lowest one): 27 meV per atom
D(E_F): 1.8 states/eV/cell

abc: 4.806 4.806 4.806
angles: 60.00 60.00 60.00
Sites, in units of the cell vectors:
1 Ru 0.250 0.250 0.250
2 Y 0.000 0.000 0.000
3 La 0.500 0.500 0.500

# 16
Below is a PBEsol-optimized structure of LaYRu, with properties calculated at the SCAN level.

Summary:
formation enthalpy at 0 K: -30 kJ/mol of atoms
volume: 25.79 A^3/atom
raw total energy: -106.70 eV/f.u.
polymorph energy (0 for the lowest one): 0 meV per atom
D(E_F): 1.4 states/eV/cell

abc: 3.402 3.402 7.105
angles: 103.85 103.85 90.00
Sites, in units of the cell vectors:
1 La 0.039 0.039 0.078
2 Y 0.290 0.290 0.580
3 Ru 0.671 0.671 0.341

# 17
Below is a PBEsol-optimized structure of LaZn4Ru, with properties calculated at the SCAN level.

Summary:
formation enthalpy at 0 K: -20 kJ/mol of atoms
volume: 16.22 A^3/atom
raw total energy: -133.26 eV/f.u.
D(E_F): 3.4 states/eV/cell

abc: 5.163 5.163 5.163
angles: 60.00 60.00 60.00
Sites, in units of the cell vectors:
1 Zn 0.373 0.373 0.373
2 Zn 0.881 0.373 0.373
3 La 0.750 0.750 0.750
4 Zn 0.373 0.373 0.881
5 Ru 0.000 0.000 0.000
6 Zn 0.373 0.881 0.373

# 18
Below is a PBEsol-optimized structure of La2ZnRu2, with properties calculated at the SCAN level.

Summary:
formation enthalpy at 0 K: -19 kJ/mol of atoms
volume: 20.57 A^3/atom
raw total energy: -170.35 eV/f.u.
D(E_F): 5.8 states/eV/cell

abc: 4.247 6.960 6.960
angles: 90.00 90.00 90.00
Sites, in units of the cell vectors:
1 La 0.500 0.177 0.677
2 Ru 0.000 0.143 0.357
3 Ru 0.000 0.357 0.857
4 Ru 0.000 0.643 0.143
5 La 0.500 0.823 0.323
6 Zn 0.000 0.000 0.000
7 La 0.500 0.677 0.823
8 La 0.500 0.323 0.177
9 Zn 0.000 0.500 0.500
10 Ru 0.000 0.857 0.643

# 19
Below is a PBEsol-optimized structure of La2ZrRu, with properties calculated at the SCAN level.

Summary:
formation enthalpy at 0 K: -13 kJ/mol of atoms
volume: 25.11 A^3/atom
raw total energy: -152.28 eV/f.u.
D(E_F): 3.1 states/eV/cell

abc: 3.552 5.423 6.140
angles: 116.21 106.81 90.00
Sites, in units of the cell vectors:
1 Zr 0.805 0.305 0.610
2 Ru 0.482 0.482 0.963
3 La 0.000 0.000 0.001
4 La 0.213 0.713 0.426

# 20
Below is a PBEsol-optimized structure of LaZr2Ru, with properties calculated at the SCAN level.

Summary:
formation enthalpy at 0 K: -24 kJ/mol of atoms
volume: 21.43 A^3/atom
raw total energy: -140.34 eV/f.u.
polymorph energy (0 for the lowest one): 0 meV per atom
D(E_F): 3.0 states/eV/cell

abc: 3.274 3.274 7.998
angles: 90.00 90.00 90.00
Sites, in units of the cell vectors:
1 Zr 0.000 0.000 0.695
2 La 0.500 0.500 0.000
3 Ru 0.500 0.500 0.500
4 Zr 0.000 0.000 0.305

# 21
Below is a PBEsol-optimized structure of La3ZrRu, with properties calculated at the SCAN level.

Summary:
formation enthalpy at 0 K: 109 kJ/mol of atoms
volume: 30.88 A^3/atom
raw total energy: -189.17 eV/f.u.
D(E_F): 5.4 states/eV/cell

abc: 5.365 5.365 5.365
angles: 90.00 90.00 90.00
Each line ends with the local moment (μB).
Sites, in units of the cell vectors:
1 Zr 0.000 0.000 0.000  -0.05
2 Ru 0.500 0.500 0.500  -1.63
3 La 0.000 0.500 0.000  0.08
4 La 0.500 0.000 0.000  0.08
5 La 0.000 0.000 0.500  0.08

# 22
Below is a PBEsol-optimized structure of LaZr2Ru, with properties calculated at the SCAN level.

Summary:
formation enthalpy at 0 K: 16 kJ/mol of atoms
volume: 20.33 A^3/atom
raw total energy: -138.66 eV/f.u.
polymorph energy (0 for the lowest one): 419 meV per atom
D(E_F): 4.5 states/eV/cell

abc: 3.193 5.563 5.510
angles: 116.10 100.18 102.93
Sites, in units of the cell vectors:
1 Zr 0.500 0.500 0.500
2 Ru 0.500 0.000 0.000
3 Zr 0.000 0.000 0.500
4 La 0.000 0.500 0.000

# 23
Below is a PBEsol-optimized structure of La4ZrRu, with properties calculated at the SCAN level.

Summary:
formation enthalpy at 0 K: 84 kJ/mol of atoms
volume: 26.87 A^3/atom
raw total energy: -232.73 eV/f.u.
D(E_F): 6.7 states/eV/cell

abc: 6.109 6.109 6.109
angles: 60.00 60.00 60.00
Each line ends with the local moment (μB).
Sites, in units of the cell vectors:
1 Zr 0.000 0.000 0.000  -0.75
2 La 0.377 0.377 0.377  -0.06
3 La 0.377 0.377 0.870  -0.06
4 La 0.870 0.377 0.377  -0.06
5 La 0.377 0.870 0.377  -0.06
6 Ru 0.750 0.750 0.750  -0.95

# 24
Below is a PBEsol-optimized structure of LaZr2Ru, with properties calculated at the SCAN level.

Summary:
formation enthalpy at 0 K: -4 kJ/mol of atoms
volume: 22.29 A^3/atom
raw total energy: -139.49 eV/f.u.
polymorph energy (0 for the lowest one): 212 meV per atom
D(E_F): 3.6 states/eV/cell

abc: 3.258 4.364 6.326
angles: 90.00 97.52 90.00
Sites, in units of the cell vectors:
1 Zr 0.470 0.500 0.193
2 Zr 0.947 0.000 0.970
3 Ru 0.532 0.500 0.805
4 La 0.051 0.000 0.532

# 25
Below is a PBEsol-optimized structure of La3S4, with properties calculated at the SCAN level.

Summary:
volume: 22.75 A^3/atom
raw total energy: -185.02 eV/f.u.
D(E_F): 9.7 states/eV/cell

abc: 7.452 7.452 7.452
angles: 109.47 109.47 109.47
Sites, in units of the cell vectors:
1 S 0.347 0.000 0.000
2 S 0.153 0.153 0.653
3 La 0.375 0.625 0.750
4 La 0.625 0.250 0.875
5 La 0.875 0.750 0.625
6 La 0.125 0.875 0.250
7 S 0.500 0.847 0.500
8 S 0.000 0.500 0.347
9 S 0.000 0.500 0.847
10 La 0.250 0.375 0.125
11 S 0.653 0.653 0.153
12 La 0.750 0.125 0.375
13 S 0.500 0.347 0.500
14 S 0.847 0.000 0.000

# 26
Below is a PBEsol-optimized structure of LaS, with properties calculated at the SCAN level.

Summary:
volume: 24.41 A^3/atom
raw total energy: -57.58 eV/f.u.
D(E_F): 0.9 states/eV/cell

abc: 4.102 4.102 4.102
angles: 60.00 60.00 60.00
Sites, in units of the cell vectors:
1 La 0.000 0.000 0.000
2 S 0.500 0.500 0.500

# 27
Below is a PBEsol-optimized structure of LaSnSbS2, with properties calculated at the SCAN level.

Summary:
volume: 29.99 A^3/atom
raw total energy: -135.50 eV/f.u.
D(E_F): 5.2 states/eV/cell

abc: 4.869 4.869 6.325
angles: 90.00 90.00 90.00
Sites, in units of the cell vectors:
1 Sb 0.500 0.500 0.500
2 S 0.500 0.000 0.000
3 Sn 0.000 0.000 0.000
4 S 0.000 0.500 0.000
5 La 0.000 0.000 0.500

# 28
Below is a PBEsol-optimized structure of La2ScWS, with properties calculated at the SCAN level.

Summary:
volume: 26.54 A^3/atom
raw total energy: -180.54 eV/f.u.
D(E_F): 4.2 states/eV/cell

abc: 4.434 5.470 5.470
angles: 90.00 90.00 90.00
Sites, in units of the cell vectors:
1 Sc 0.500 0.500 0.500
2 La 0.000 0.500 0.000
3 La 0.000 0.000 0.500
4 S 0.000 0.000 0.000
5 W 0.500 0.000 0.000

# 29
Below is a PBEsol-optimized structure of LaSeS, with properties calculated at the SCAN level.

Summary:
volume: 23.31 A^3/atom
raw total energy: -79.08 eV/f.u.
D(E_F): 1.0 states/eV/cell

abc: 4.092 8.218 8.316
angles: 90.07 90.00 90.00
Sites, in units of the cell vectors:
1 Se 0.307 0.120 0.001
2 Se 0.193 0.620 0.001
3 S 0.756 0.125 0.636
4 La 0.772 0.126 0.288
5 La 0.228 0.874 0.712
6 La 0.728 0.626 0.288
7 S 0.244 0.875 0.364
8 La 0.272 0.374 0.712
9 Se 0.693 0.880 0.999
10 S 0.744 0.625 0.636
11 S 0.256 0.375 0.364
12 Se 0.807 0.380 0.999